A relaxed structure of Na2ErCrO4, computed with PBE with a Hubbard U.

Calculated values
For the raw total energy, the calculation gives -6.6397 eV per atom. As for the theoretical density: 5.554 Mg/m³.

a = 3.2341 Å, b = 5.5311 Å, c = 5.8124 Å
α = 108.78°, β = 90.00°, γ = 90.00°
Last column: nearest neighbours and their distance in Å.
Sites, in units of the cell vectors:
1 Cr 0.0000 0.0000 0.0000  6 O 2.09-2.12
2 O 0.5000 0.7845 0.7984  2 Cr 2.12, 1 Er 2.24
3 Na 0.0000 0.5000 0.5000  6 O 2.52-2.53
4 Er 0.5000 0.5000 0.0000  6 O 2.23-2.24
5 O 0.5000 0.2155 0.2016  2 Cr 2.12, 1 Er 2.24
6 Na 0.5000 0.0000 0.5000  6 O 2.40-2.42
7 O 0.0000 0.2453 0.7915  1 Cr 2.09, 2 Er 2.23
8 O 0.0000 0.7547 0.2085  1 Cr 2.09, 2 Er 2.23